(1)
The following is a GGA-PBE calculation of DyHo3Zn after structural relaxation, from Alexandria.

Values from the calculation:
The calculation puts the offset from the most stable computed form at 87.5 kJ/mol of formula units. The density of states at the Fermi level comes out at 1.51 states/eV per atom. Its total magnetization is 0.00 μB/cell. As for the crystal system: monoclinic.

Cell: 7.0752 7.0752 7.6640 Å, 117.12 117.12 72.68°
Last column: nearest neighbours and their distance in Å.
Positions (direct):
Dy  0.0814  0.0814  0.2714  2 Zn 2.93-3.00
Dy  0.9186  0.9186  0.7286  2 Zn 2.93-3.00
Ho  0.0136  0.6098  0.2869  2 Zn 2.87-2.97
Ho  0.3902  0.9864  0.7131  2 Zn 2.87-2.97
Ho  0.4522  0.4522  0.6904  1 Zn 2.97
Ho  0.5478  0.5478  0.3096  1 Zn 2.97
Ho  0.6098  0.0136  0.2869  2 Zn 2.87-2.97
Ho  0.9864  0.3902  0.7131  2 Zn 2.87-2.97
Zn  0.2324  0.2324  0.0638  5 Ho 2.87-2.97, 2 Dy 2.93-3.00
Zn  0.7676  0.7676  0.9362  5 Ho 2.87-2.97, 2 Dy 2.93-3.00


(2)
The following is a GGA-PBE calculation of Dy2HoZn6 after structural relaxation, from Alexandria.

Values from the calculation:
The density of states at the Fermi level comes out at 0.66 states/eV per atom. Its total magnetization is 0.00 μB/cell. The calculated total energy comes out at -2.7631 eV per atom. As for the crystal system: hexagonal.

Cell: 7.7436 7.7436 3.4921 Å, 90.00 90.00 120.00°
Last column: nearest neighbours and their distance in Å.
Positions (direct):
Dy  0.3333  0.6667  0.0000  12 Zn 3.12
Dy  0.6667  0.3333  0.0000  12 Zn 3.12
Ho  0.0000  0.0000  0.0000  12 Zn 3.11
Zn  0.0000  0.3330  0.5000  3 Zn 2.58-2.59
Zn  0.0000  0.6670  0.5000  3 Zn 2.58-2.59
Zn  0.3330  0.0000  0.5000  3 Zn 2.58-2.59
Zn  0.3330  0.3330  0.5000  3 Zn 2.58-2.59
Zn  0.6670  0.0000  0.5000  3 Zn 2.58-2.59
Zn  0.6670  0.6670  0.5000  3 Zn 2.58-2.59


(3)
The following is a GGA-PBE calculation of DyHo2Zn6 after structural relaxation, from Alexandria.

Values from the calculation:
The density of states at the Fermi level comes out at 0.65 states/eV per atom. Its total magnetization is 0.00 μB/cell. The calculated total energy comes out at -2.7605 eV per atom. As for the crystal system: hexagonal.

Cell: 7.7363 7.7363 3.4841 Å, 90.00 90.00 120.00°
Last column: nearest neighbours and their distance in Å.
Positions (direct):
Dy  0.0000  0.0000  0.0000  12 Zn 3.11, 2 Dy 3.48
Ho  0.3333  0.6667  0.0000  12 Zn 3.11
Ho  0.6667  0.3333  0.0000  12 Zn 3.11
Zn  0.0000  0.3337  0.5000  3 Zn 2.57-2.58
Zn  0.0000  0.6663  0.5000  3 Zn 2.57-2.58
Zn  0.3337  0.0000  0.5000  3 Zn 2.57-2.58
Zn  0.3337  0.3337  0.5000  3 Zn 2.57-2.58
Zn  0.6663  0.0000  0.5000  3 Zn 2.57-2.58
Zn  0.6663  0.6663  0.5000  3 Zn 2.57-2.58


(4)
The following is a GGA-PBE calculation of Dy2HoZn3 after structural relaxation, from Alexandria.

Values from the calculation:
The density of states at the Fermi level comes out at 1.14 states/eV per atom. Its total magnetization is 0.00 μB/cell. The calculated total energy comes out at -3.2751 eV per atom. As for the crystal system: tetragonal.

Cell: 3.5681 3.5681 10.6670 Å, 90.00 90.00 90.00°
Last column: nearest neighbours and their distance in Å.
Positions (direct):
Dy  0.0000  0.0000  0.1670  8 Zn 3.09
Dy  0.0000  0.0000  0.8330  8 Zn 3.09
Ho  0.0000  0.0000  0.5000  8 Zn 3.08
Zn  0.5000  0.5000  0.0000  8 Dy 3.09
Zn  0.5000  0.5000  0.3346  4 Ho 3.08, 4 Dy 3.09
Zn  0.5000  0.5000  0.6654  4 Ho 3.08, 4 Dy 3.09


(5)
The following is a GGA-PBE calculation of DyHo6Zn2 after structural relaxation, from Alexandria.

Values from the calculation:
The density of states at the Fermi level comes out at 1.69 states/eV per atom. Its total magnetization is 0.00 μB/cell. The calculated total energy comes out at -3.5839 eV per atom. As for the crystal system: tetragonal.

Cell: 12.8888 12.8888 12.8888 Å, 158.58 158.58 30.47°
Last column: nearest neighbours and their distance in Å.
Positions (direct):
Dy  0.0000  0.0000  0.0000  8 Ho 3.59
Ho  0.1077  0.6077  0.5000  2 Zn 2.96
Ho  0.2500  0.7500  0.5000  4 Zn 2.99
Ho  0.3923  0.8923  0.5000  2 Zn 2.96
Ho  0.6077  0.1077  0.5000  2 Zn 2.96
Ho  0.7500  0.2500  0.5000  4 Zn 2.99
Ho  0.8923  0.3923  0.5000  2 Zn 2.96
Zn  0.3223  0.3223  0.0000  8 Ho 2.96-2.99
Zn  0.6777  0.6777  0.0000  8 Ho 2.96-2.99


(6)
The following is a GGA-PBE calculation of Dy3Ho4Zn4 after structural relaxation, from Alexandria.

Values from the calculation:
The density of states at the Fermi level comes out at 0.76 states/eV per atom. Its total magnetization is 0.00 μB/cell. The calculated total energy comes out at -3.5130 eV per atom. As for the crystal system: orthorhombic.

Cell: 9.1015 9.1015 9.1015 Å, 147.63 135.19 56.36°
Last column: nearest neighbours and their distance in Å.
Positions (direct):
Dy  0.0000  0.0000  0.0000  2 Zn 2.93
Dy  0.3980  0.8980  0.5000  1 Dy 3.27, 4 Zn 3.28, 4 Ho 3.38
Dy  0.6020  0.1020  0.5000  1 Dy 3.27, 4 Zn 3.28, 4 Ho 3.38
Ho  0.0530  0.3211  0.7319  4 Zn 2.90-3.00, 1 Ho 3.22
Ho  0.4108  0.6789  0.7319  4 Zn 2.90-3.00, 1 Ho 3.22
Ho  0.5893  0.3211  0.2681  4 Zn 2.90-3.00, 1 Ho 3.22
Ho  0.9470  0.6789  0.2681  4 Zn 2.90-3.00, 1 Ho 3.22
Zn  0.1827  0.1827  0.0000  6 Ho 2.90-3.00, 1 Dy 2.93
Zn  0.3159  0.5000  0.8159  1 Zn 2.55
Zn  0.6841  0.5000  0.1841  1 Zn 2.55
Zn  0.8173  0.8173  0.0000  6 Ho 2.90-3.00, 1 Dy 2.93


(7)
The following is a GGA-PBE calculation of Dy8Ho2Zr after structural relaxation, from Alexandria.

Values from the calculation:
The calculation puts the offset from the most stable computed form at 178.4 kJ/mol of formula units. The density of states at the Fermi level comes out at 1.64 states/eV per atom. Its total magnetization is 0.00 μB/cell. As for the crystal system: monoclinic.

Cell: 8.8619 8.8619 6.5498 Å, 101.50 101.50 42.98°
Last column: nearest neighbours and their distance in Å.
Positions (direct):
Dy  0.0942  0.0942  0.9156  8 Dy 3.40-3.77, 3 Ho 3.68-3.69, 2 Zr 3.69
Dy  0.1638  0.6760  0.6128  1 Zr 3.08, 5 Dy 3.17-3.43, 1 Ho 3.42
Dy  0.2539  0.2539  0.6631  5 Dy 3.28-3.43, 4 Ho 3.32-3.66
Dy  0.3240  0.8362  0.3872  1 Zr 3.08, 5 Dy 3.17-3.43, 1 Ho 3.42
Dy  0.6760  0.1638  0.6128  1 Zr 3.08, 5 Dy 3.17-3.43, 1 Ho 3.42
Dy  0.7461  0.7461  0.3369  5 Dy 3.28-3.43, 4 Ho 3.32-3.66
Dy  0.8362  0.3240  0.3872  1 Zr 3.08, 5 Dy 3.17-3.43, 1 Ho 3.42
Dy  0.9058  0.9058  0.0844  8 Dy 3.40-3.77, 3 Ho 3.68-3.69, 2 Zr 3.69
Ho  0.3155  0.3155  0.1800  9 Dy 3.32-3.69, 1 Zr 3.49
Ho  0.6845  0.6845  0.8200  9 Dy 3.32-3.69, 1 Zr 3.49
Zr  0.5000  0.5000  0.0000  4 Dy 3.08


(8)
The following is a GGA-PBE calculation of Dy8Ho5Zr after structural relaxation, from Alexandria.

Values from the calculation:
The density of states at the Fermi level comes out at 1.45 states/eV per atom. Its total magnetization is 0.00 μB/cell. The calculated total energy comes out at -4.6695 eV per atom. As for the crystal system: monoclinic.

Cell: 8.5610 8.5610 8.3804 Å, 115.89 115.89 56.52°
Last column: nearest neighbours and their distance in Å.
Positions (direct):
Dy  0.0462  0.5867  0.4338  4 Dy 3.20-3.42, 5 Ho 3.32-3.41
Dy  0.1236  0.1236  0.1839  1 Zr 3.36, 5 Dy 3.39-3.56, 1 Ho 3.76
Dy  0.2289  0.4131  0.7785  1 Zr 3.08, 4 Dy 3.20-3.39, 2 Ho 3.26-3.32
Dy  0.4133  0.9538  0.5662  4 Dy 3.20-3.42, 5 Ho 3.32-3.41
Dy  0.5284  0.1010  0.0678  1 Zr 3.17, 2 Dy 3.31-3.50, 1 Ho 3.49
Dy  0.5869  0.7711  0.2215  1 Zr 3.08, 4 Dy 3.20-3.39, 2 Ho 3.26-3.32
Dy  0.8764  0.8764  0.8161  1 Zr 3.36, 5 Dy 3.39-3.56, 1 Ho 3.76
Dy  0.8990  0.4716  0.9322  1 Zr 3.17, 2 Dy 3.31-3.50, 1 Ho 3.49
Ho  0.2707  0.6292  0.2149  5 Dy 3.26-3.59, 2 Ho 3.42-3.57, 1 Zr 3.47
Ho  0.3708  0.7293  0.7851  5 Dy 3.26-3.59, 2 Ho 3.42-3.57, 1 Zr 3.47
Ho  0.5219  0.2587  0.5272  3 Ho 3.25-3.56, 4 Dy 3.32-3.49, 1 Zr 3.46
Ho  0.7413  0.4781  0.4728  3 Ho 3.25-3.56, 4 Dy 3.32-3.49, 1 Zr 3.46
Ho  0.9665  0.0335  0.5000  4 Ho 3.25-3.57, 2 Dy 3.32
Zr  0.6451  0.3549  0.0000  6 Dy 3.08-3.36


Which formula does entry 7 have? Dy8Ho2Zr